Computed, not measured: an optimized crystal structure of InGa2CoO6 at the GGA+U level of DFT.

Cell: 6.699 6.699 5.325 Å, 97.19 97.19 87.94°
Atoms (fractional coordinates):
In  0.094  0.906  0.750
In  0.906  0.094  0.250
Ga  0.228  0.405  0.708
Ga  0.405  0.228  0.208
Ga  0.595  0.772  0.792
Ga  0.772  0.595  0.292
Co  0.276  0.724  0.250
Co  0.724  0.276  0.750
O  0.022  0.213  0.637
O  0.154  0.631  0.919
O  0.213  0.022  0.137
O  0.281  0.450  0.381
O  0.369  0.846  0.581
O  0.450  0.281  0.881
O  0.550  0.719  0.119
O  0.631  0.154  0.419
O  0.719  0.550  0.619
O  0.787  0.978  0.863
O  0.846  0.369  0.081
O  0.978  0.787  0.363

Calculated values
Calculated total energy ... -5.854 eV per atom
Density ... 5.8 g/cm3
Space-group type ... No. 15